The following is a DFT calculation (GGA-PBEsol) of crystalline BeAs at its relaxed geometry.

Cell: 3.013 3.013 3.013 Å, 90.00 90.00 90.00°
Fractional coordinates of all 2 atoms:
Be 0.500 0.500 0.500
As 0.000 0.000 0.000

- Volume: 13.68 Å³ per atom
- ΔE to the lowest computed polymorph: 521 meV/atom
- Formation energy: 0.531 eV per atom
- DOS at the Fermi energy: 0.98 states/eV/f.u.
- Symmetry: Pm-3m, No. 221